Entry 1:
# CdPbW2

A relaxed structure of CdPbW2 (PBE-GGA, Alexandria via LeMat-Bulk). Values from VASP.

Output
As for the space-group type: P2/m (10). For the energy above the most stable polymorph in this dataset, the calculation gives 392 meV/atom. The formation energy comes out at 908 meV per atom. Its total DFT energy (no corrections) is -6.724 eV per atom.

The structure in Quantum ESPRESSO input format:
```
&SYSTEM
  ibrav = 0, nat = 4, ntyp = 3
/
ATOMIC_SPECIES
Cd 112.41 Cd.upf
Pb 207.20 Pb.upf
W 183.84 W.upf
ATOMIC_POSITIONS crystal
Cd 0.0000 0.0000 0.0000
Pb 0.5000 0.0000 0.5000
W 0.3287 0.5000 0.7803
W 0.6713 0.5000 0.2197
CELL_PARAMETERS angstrom
2.9502 0.0000 0.0000
0.0000 4.8470 0.0000
-0.3951 0.0000 5.4998
```

***

Entry 2:
# CdPbW2

A relaxed structure of CdPbW2 (PBE-GGA, Alexandria via LeMat-Bulk). Values from VASP.

Output
As for the space-group type: I-4m2 (119). For the energy above the most stable polymorph in this dataset, the calculation gives 505 meV/atom. The formation energy comes out at 1022 meV per atom. Its total DFT energy (no corrections) is -6.611 eV per atom.

The structure in Quantum ESPRESSO input format:
```
&SYSTEM
  ibrav = 0, nat = 4, ntyp = 3
/
ATOMIC_SPECIES
Cd 112.41 Cd.upf
Pb 207.20 Pb.upf
W 183.84 W.upf
ATOMIC_POSITIONS crystal
Cd 0.0000 0.0000 0.0000
Pb 0.2500 0.7500 0.5000
W 0.5000 0.5000 0.0000
W 0.7500 0.2500 0.5000
CELL_PARAMETERS angstrom
-2.1575 2.1575 4.0775
2.1575 -2.1575 4.0775
2.1575 2.1575 -4.0775
```

***

Entry 3:
# CdPbW2

A relaxed structure of CdPbW2 (PBE-GGA, Alexandria via LeMat-Bulk). Values from VASP.

Output
As for the space-group type: C2/m (12). For the energy above the most stable polymorph in this dataset, the calculation gives 482 meV/atom. The formation energy comes out at 998 meV per atom. Its total DFT energy (no corrections) is -6.634 eV per atom.

The structure in Quantum ESPRESSO input format:
```
&SYSTEM
  ibrav = 0, nat = 4, ntyp = 3
/
ATOMIC_SPECIES
Cd 112.41 Cd.upf
Pb 207.20 Pb.upf
W 183.84 W.upf
ATOMIC_POSITIONS crystal
Cd 0.0000 0.0000 0.0000
Pb 0.5000 0.5000 0.0000
W 0.0000 0.5000 0.5000
W 0.5000 0.0000 0.5000
CELL_PARAMETERS angstrom
2.9187 -4.9032 0.0000
2.9187 4.9032 0.0000
-1.2058 0.0000 2.6876
```

***

Entry 4:
# CdPbW2

A relaxed structure of CdPbW2 (PBE-GGA, Alexandria via LeMat-Bulk). Values from VASP.

Output
As for the space-group type: P4/mmm (123). For the energy above the most stable polymorph in this dataset, the calculation gives 744 meV/atom. The formation energy comes out at 1260 meV per atom. Its total DFT energy (no corrections) is -6.373 eV per atom.

The structure in Quantum ESPRESSO input format:
```
&SYSTEM
  ibrav = 0, nat = 4, ntyp = 3
/
ATOMIC_SPECIES
Cd 112.41 Cd.upf
Pb 207.20 Pb.upf
W 183.84 W.upf
ATOMIC_POSITIONS crystal
Cd 0.0000 0.0000 0.0000
Pb 0.0000 0.0000 0.5000
W 0.5000 0.5000 0.2503
W 0.5000 0.5000 0.7497
CELL_PARAMETERS angstrom
3.3201 0.0000 0.0000
0.0000 3.3201 0.0000
0.0000 0.0000 6.8112
```

***

Entry 5:
# Cd3PbW

A relaxed structure of Cd3PbW (PBE-GGA, Alexandria via LeMat-Bulk). Values from VASP.

Output
As for the space-group type: Pm-3m (221). For the energy above the most stable polymorph in this dataset, the calculation gives 0 meV/atom. The formation energy comes out at 1053 meV per atom. Its total DFT energy (no corrections) is -2.828 eV per atom.

The structure in Quantum ESPRESSO input format:
```
&SYSTEM
  ibrav = 0, nat = 5, ntyp = 3
/
ATOMIC_SPECIES
Cd 112.41 Cd.upf
Pb 207.20 Pb.upf
W 183.84 W.upf
ATOMIC_POSITIONS crystal
Cd 0.0000 0.0000 0.5000
Cd 0.0000 0.5000 0.0000
Cd 0.5000 0.0000 0.0000
Pb 0.5000 0.5000 0.5000
W 0.0000 0.0000 0.0000
CELL_PARAMETERS angstrom
5.2963 0.0000 0.0000
0.0000 5.2963 0.0000
0.0000 0.0000 5.2963
```

***

Entry 6:
# CdPbW2

A relaxed structure of CdPbW2 (PBE-GGA, Alexandria via LeMat-Bulk). Values from VASP.

Output
As for the space-group type: R-3m (166). For the energy above the most stable polymorph in this dataset, the calculation gives 511 meV/atom. The formation energy comes out at 1028 meV per atom. Its total DFT energy (no corrections) is -6.605 eV per atom.

The structure in Quantum ESPRESSO input format:
```
&SYSTEM
  ibrav = 0, nat = 4, ntyp = 3
/
ATOMIC_SPECIES
Cd 112.41 Cd.upf
Pb 207.20 Pb.upf
W 183.84 W.upf
ATOMIC_POSITIONS crystal
Cd 0.0000 0.0000 0.0000
Pb 0.5000 0.5000 0.5000
W 0.2510 0.2510 0.2510
W 0.7490 0.7490 0.7490
CELL_PARAMETERS angstrom
1.5042 0.8685 9.8090
-1.5042 0.8685 9.8090
0.0000 -1.7369 9.8090
```

***

Entry 7:
# CdPbW2

A relaxed structure of CdPbW2 (PBE-GGA, Alexandria via LeMat-Bulk). Values from VASP.

Output
As for the space-group type: Cmmm (65). For the energy above the most stable polymorph in this dataset, the calculation gives 605 meV/atom. The formation energy comes out at 1122 meV per atom. Its total DFT energy (no corrections) is -6.511 eV per atom.

The structure in Quantum ESPRESSO input format:
```
&SYSTEM
  ibrav = 0, nat = 4, ntyp = 3
/
ATOMIC_SPECIES
Cd 112.41 Cd.upf
Pb 207.20 Pb.upf
W 183.84 W.upf
ATOMIC_POSITIONS crystal
Cd 0.0000 0.0000 0.0000
Pb 0.5000 0.5000 0.0000
W 0.0000 0.5000 0.5000
W 0.5000 0.0000 0.5000
CELL_PARAMETERS angstrom
2.8759 -4.6980 0.0000
2.8759 4.6980 0.0000
0.0000 0.0000 2.8569
```

***

Entry 8:
# CdPbW2

A relaxed structure of CdPbW2 (PBE-GGA, Alexandria via LeMat-Bulk). Values from VASP.

Output
As for the space-group type: I-42d (122). For the energy above the most stable polymorph in this dataset, the calculation gives 630 meV/atom. The formation energy comes out at 1147 meV per atom. Its total DFT energy (no corrections) is -6.486 eV per atom.

The structure in Quantum ESPRESSO input format:
```
&SYSTEM
  ibrav = 0, nat = 8, ntyp = 3
/
ATOMIC_SPECIES
Cd 112.41 Cd.upf
Pb 207.20 Pb.upf
W 183.84 W.upf
ATOMIC_POSITIONS crystal
Cd 0.0000 0.0000 0.0000
Cd 0.7500 0.2500 0.5000
Pb 0.2500 0.7500 0.5000
Pb 0.5000 0.5000 0.0000
W 0.0763 0.6250 0.9513
W 0.3750 0.3263 0.4513
W 0.6737 0.1250 0.0487
W 0.8750 0.9237 0.5487
CELL_PARAMETERS angstrom
-2.0202 2.0202 10.3743
2.0202 -2.0202 10.3743
2.0202 2.0202 -10.3743
```